Compound: CaCoTe2
Source: Alexandria via LeMat-Bulk
Functional: PBE-GGA
Structure: optimized geometry

Geometry as POSCAR:
```
CaCoTe2
1.0
3.616 0.000 0.000
0.000 3.616 0.000
0.000 0.000 7.421
Ca Co Te
1 1 2
Direct
0.000 0.000 0.000
0.000 0.000 0.500
0.500 0.500 0.280
0.500 0.500 0.720
```

Space-group type   P4/mmm

---

Compound: Ca2Co2Te
Source: Alexandria via LeMat-Bulk
Functional: PBE-GGA
Structure: optimized geometry

Geometry as POSCAR:
```
Ca2Co2Te
1.0
7.008 0.000 0.000
0.000 7.008 0.000
0.000 0.000 4.340
Ca Co Te
4 4 2
Direct
0.177 0.323 0.000
0.323 0.823 0.000
0.677 0.177 0.000
0.823 0.677 0.000
0.112 0.612 0.500
0.388 0.112 0.500
0.612 0.888 0.500
0.888 0.388 0.500
0.000 0.000 0.500
0.500 0.500 0.500
```

Space-group type   P4/mbm

---

Compound: CaCo2Te
Source: Alexandria via LeMat-Bulk
Functional: PBE-GGA
Structure: optimized geometry

Geometry as POSCAR:
```
CaCo2Te
1.0
2.353 -2.368 0.000
2.353 2.368 0.000
0.000 0.000 6.947
Ca Co Te
1 2 1
Direct
0.000 0.000 0.000
0.000 0.000 0.420
0.500 0.500 0.290
0.500 0.500 0.660
```

Space-group type   Cmm2

---

For reference, D(E_F) by record: 2.5 8.0 5.5 states/eV/f.u..
For reference, calculated volume by record: 97.0 213.2 77.4 Å³/cell.
For reference, raw formation energy by record: -0.168 -0.169 0.137 eV per atom.